The following is a GGA-PBE calculation of a relaxed structure of Pr2ScAlPt2, from the Alexandria database.

a = 6.2186 Å, b = 13.8963 Å, c = 6.4414 Å
α = 90.00°, β = 90.00°, γ = 90.00°
With the nearest neighbours (Å) after each atom.
Space group Ibam (No. 72)
Unique sites:
Pr 0.2393 0.1794 0.0000 x8  2 Pt 2.97-3.15, 2 Al 3.32
Sc 0.0000 0.5000 0.2500 x4  4 Pt 2.72
Al 0.0000 0.0000 0.2500 x4  4 Pt 2.65
Pt 0.2408 0.1070 0.5000 x8  2 Al 2.65, 2 Sc 2.72, 1 Pr 2.97

- uncorrected energy (eV/atom) = -6.2313